## a
The following is a PBE calculation of an optimized crystal structure of Ac2SmCd, from the Alexandria database.

Structure (extended XYZ):
```
12
Lattice="3.7926 0.0000 0.0000 -1.8963 3.2845 0.0000 0.0000 0.0000 38.9525" Properties=species:S:1:pos:R:3 pbc="T T T"
Ac 0.0000 0.0000 3.4667
Ac 0.0000 0.0000 35.4858
Ac 0.0000 2.1897 22.5017
Ac 0.0000 2.1897 29.4351
Ac 1.8963 1.0948 9.5175
Ac 1.8963 1.0948 16.4509
Sm 0.0000 0.0000 19.4763
Sm 0.0000 2.1897 6.4921
Sm 1.8963 1.0948 32.4604
Cd 0.0000 0.0000 0.0000
Cd 0.0000 2.1897 25.9684
Cd 1.8963 1.0948 12.9842
```



## b
The following is a PBE calculation of an optimized crystal structure of Ac2SmCd, from the Alexandria database.

Structure (extended XYZ):
```
16
Lattice="8.3261 0.0000 0.0000 0.0000 8.3261 0.0000 0.0000 0.0000 8.3261" Properties=species:S:1:pos:R:3 pbc="T T T"
Ac 2.0815 2.0815 2.0815
Ac 2.0815 2.0815 6.2446
Ac 2.0815 6.2446 2.0815
Ac 2.0815 6.2446 6.2446
Ac 6.2446 2.0815 2.0815
Ac 6.2446 2.0815 6.2446
Ac 6.2446 6.2446 2.0815
Ac 6.2446 6.2446 6.2446
Sm 0.0000 0.0000 0.0000
Sm 0.0000 4.1630 4.1630
Sm 4.1630 0.0000 4.1630
Sm 4.1630 4.1630 0.0000
Cd 0.0000 0.0000 4.1630
Cd 0.0000 4.1630 0.0000
Cd 4.1630 0.0000 0.0000
Cd 4.1630 4.1630 4.1630
```



Tell me which of them is the least stable. Sure, it is a.



## a
The following is a PBE calculation of an optimized crystal structure of Ac2SmCd, from the Alexandria database.

Structure (extended XYZ):
```
4
Lattice="3.9724 0.0000 0.0000 0.0000 3.9724 0.0000 0.0000 0.0000 9.3729" Properties=species:S:1:pos:R:3 pbc="T T T"
Ac 0.0000 0.0000 2.1150
Ac 0.0000 0.0000 7.2580
Sm 1.9862 1.9862 4.6865
Cd 1.9862 1.9862 0.0000
```



## b
The following is a PBE calculation of an optimized crystal structure of Ac2SmCd, from the Alexandria database.

Structure (extended XYZ):
```
12
Lattice="3.8976 0.0000 0.0000 -1.9488 3.3754 0.0000 0.0000 0.0000 34.5314" Properties=species:S:1:pos:R:3 pbc="T T T"
Ac 0.0000 0.0000 0.0000
Ac 0.0000 0.0000 6.1129
Ac 0.0000 2.2503 23.0209
Ac 0.0000 2.2503 29.1338
Ac 1.9488 1.1251 11.5104
Ac 1.9488 1.1251 17.6234
Sm 0.0000 0.0000 14.5479
Sm 0.0000 2.2503 3.0374
Sm 1.9488 1.1251 26.0584
Cd 0.0000 0.0000 20.3278
Cd 0.0000 2.2503 8.8174
Cd 1.9488 1.1251 31.8383
```



Tell me which of them is the least stable. Sure, it is b.



## a
The following is a PBE calculation of an optimized crystal structure of AcSmCd2, from the Alexandria database.

Structure (extended XYZ):
```
4
Lattice="3.9203 0.0000 0.0000 0.0000 3.9203 0.0000 0.0000 0.0000 7.9923" Properties=species:S:1:pos:R:3 pbc="T T T"
Ac 0.0000 0.0000 0.0000
Sm 0.0000 0.0000 3.9961
Cd 1.9601 1.9601 2.2269
Cd 1.9601 1.9601 5.7654
```



## b
The following is a PBE calculation of an optimized crystal structure of AcSmCd2, from the Alexandria database.

Structure (extended XYZ):
```
16
Lattice="7.9072 0.0000 0.0000 0.0000 7.9072 0.0000 0.0000 0.0000 7.9072" Properties=species:S:1:pos:R:3 pbc="T T T"
Ac 0.0000 0.0000 0.0000
Ac 0.0000 3.9536 3.9536
Ac 3.9536 0.0000 3.9536
Ac 3.9536 3.9536 0.0000
Sm 0.0000 0.0000 3.9536
Sm 0.0000 3.9536 0.0000
Sm 3.9536 0.0000 0.0000
Sm 3.9536 3.9536 3.9536
Cd 1.9768 1.9768 1.9768
Cd 1.9768 1.9768 5.9304
Cd 1.9768 5.9304 1.9768
Cd 1.9768 5.9304 5.9304
Cd 5.9304 1.9768 1.9768
Cd 5.9304 1.9768 5.9304
Cd 5.9304 5.9304 1.9768
Cd 5.9304 5.9304 5.9304
```



Tell me which of them is the least stable. Sure, it is b.



## a
The following is a PBE calculation of an optimized crystal structure of AcSmCd4, from the Alexandria database.

Structure (extended XYZ):
```
12
Lattice="5.1222 0.0000 0.0000 0.0000 7.2552 0.0000 0.0000 0.0000 8.8977" Properties=species:S:1:pos:R:3 pbc="T T T"
Ac 0.0000 0.0000 0.0000
Ac 2.5611 3.6276 4.4488
Sm 0.0000 3.6276 0.0000
Sm 2.5611 0.0000 4.4488
Cd 0.0000 1.7419 2.9671
Cd 0.0000 1.7419 5.9306
Cd 0.0000 5.5133 2.9671
Cd 0.0000 5.5133 5.9306
Cd 2.5611 1.8857 1.4817
Cd 2.5611 1.8857 7.4160
Cd 2.5611 5.3695 1.4817
Cd 2.5611 5.3695 7.4160
```



## b
The following is a PBE calculation of an optimized crystal structure of AcSmCd4, from the Alexandria database.

Structure (extended XYZ):
```
6
Lattice="4.0550 0.0000 0.0000 0.0000 4.6000 0.0000 0.0000 0.0000 10.2721" Properties=species:S:1:pos:R:3 pbc="T T T"
Ac 0.0000 0.0000 0.0000
Sm 2.0275 2.3000 5.1361
Cd 0.0000 2.3000 2.5962
Cd 0.0000 2.3000 7.6759
Cd 2.0275 0.0000 2.8394
Cd 2.0275 0.0000 7.4327
```



## c
The following is a PBE calculation of an optimized crystal structure of AcSmCd4, from the Alexandria database.

Structure (extended XYZ):
```
6
Lattice="0.0000 4.3123 4.3123 4.3123 0.0000 4.3123 4.3123 4.3123 0.0000" Properties=species:S:1:pos:R:3 pbc="T T T"
Ac 0.0000 0.0000 0.0000
Sm 2.1562 2.1562 2.1562
Cd 5.3846 3.2400 3.2400
Cd 3.2400 5.3846 3.2400
Cd 3.2400 3.2400 5.3846
Cd 5.3846 5.3846 5.3846
```



Tell me which of them is the least stable. Sure, it is b.



## a
The following is a PBE calculation of an optimized crystal structure of Ac2SmCd2, from the Alexandria database.

Structure (extended XYZ):
```
10
Lattice="3.9746 0.0000 0.0000 0.0000 22.1721 0.0000 0.0000 0.0000 3.9071" Properties=species:S:1:pos:R:3 pbc="T T T"
Ac 0.0000 3.8638 0.0000
Ac 0.0000 18.3084 0.0000
Ac 1.9873 7.2223 0.0000
Ac 1.9873 14.9498 0.0000
Sm 0.0000 0.0000 0.0000
Sm 1.9873 11.0861 0.0000
Cd 0.0000 9.3607 1.9535
Cd 0.0000 12.8115 1.9535
Cd 1.9873 1.7254 1.9535
Cd 1.9873 20.4467 1.9535
```



## b
The following is a PBE calculation of an optimized crystal structure of Ac2SmCd2, from the Alexandria database.

Structure (extended XYZ):
```
10
Lattice="4.1363 0.0000 0.0000 0.0000 7.7003 0.0000 0.0000 0.0000 11.0658" Properties=species:S:1:pos:R:3 pbc="T T T"
Ac 0.0000 0.0000 2.3939
Ac 0.0000 0.0000 8.6719
Ac 2.0682 3.8502 3.1390
Ac 2.0682 3.8502 7.9269
Sm 0.0000 3.8502 0.0000
Sm 2.0682 0.0000 5.5329
Cd 0.0000 2.3532 5.5329
Cd 0.0000 5.3471 5.5329
Cd 2.0682 1.4969 0.0000
Cd 2.0682 6.2034 0.0000
```



Tell me which of them is the least stable. Sure, it is b.



## a
The following is a PBE calculation of an optimized crystal structure of AcSm6Cd2, from the Alexandria database.

Structure (extended XYZ):
```
9
Lattice="6.5281 -1.9298 0.0000 6.5281 1.9298 0.0000 -3.8386 0.0000 11.6333" Properties=species:S:1:pos:R:3 pbc="T T T"
Ac 0.0000 0.0000 0.0000
Sm -1.1156 0.0000 3.9548
Sm 3.5893 0.0000 1.4693
Sm 2.4919 0.0000 4.8766
Sm 6.7257 0.0000 6.7567
Sm 5.6283 0.0000 10.1640
Sm 10.3332 0.0000 7.6785
Cd 1.5309 0.0000 9.0190
Cd 7.6867 0.0000 2.6143
```



## b
The following is a PBE calculation of an optimized crystal structure of AcSm6Cd2, from the Alexandria database.

Structure (extended XYZ):
```
18
Lattice="8.6440 -5.8328 0.0000 8.6440 5.8328 0.0000 -0.7269 0.0000 5.7438" Properties=species:S:1:pos:R:3 pbc="T T T"
Ac 8.0988 3.7870 4.3078
Ac 8.4623 -3.7870 1.4359
Sm 1.3622 1.2507 4.5550
Sm 3.8393 1.3083 1.9863
Sm 1.7257 -1.2507 1.6831
Sm 7.0989 1.1299 2.4223
Sm 3.4759 -1.3083 4.8582
Sm 9.8257 1.1299 0.4495
Sm 6.7355 -1.1299 5.2942
Sm 13.0853 1.3083 0.8856
Sm 9.4622 -1.1299 3.3214
Sm 14.8355 1.2507 4.0606
Sm 12.7218 -1.3083 3.7575
Sm 15.1990 -1.2507 1.1888
Cd 5.1240 1.6764 5.1156
Cd 5.4875 -1.6764 2.2438
Cd 11.0737 1.6764 3.5000
Cd 11.4371 -1.6764 0.6281
```



Tell me which of them is the least stable. Sure, it is b.



## a
The following is a PBE calculation of an optimized crystal structure of AcSmTmCd, from the Alexandria database.

Structure (extended XYZ):
```
4
Lattice="3.7763 0.0000 0.0000 0.0000 3.7763 0.0000 0.0000 0.0000 9.0129" Properties=species:S:1:pos:R:3 pbc="T T T"
Ac 0.0000 0.0000 0.0000
Sm 1.8881 1.8881 6.3278
Tm 1.8881 1.8881 2.5957
Cd 0.0000 0.0000 4.3502
```



## b
The following is a PBE calculation of an optimized crystal structure of AcSmTmCd, from the Alexandria database.

Structure (extended XYZ):
```
16
Lattice="8.0214 0.0000 0.0000 0.0000 8.0214 0.0000 0.0000 0.0000 8.0214" Properties=species:S:1:pos:R:3 pbc="T T T"
Ac 0.0000 0.0000 0.0000
Ac 0.0000 4.0107 4.0107
Ac 4.0107 0.0000 4.0107
Ac 4.0107 4.0107 0.0000
Sm 0.0000 0.0000 4.0107
Sm 0.0000 4.0107 0.0000
Sm 4.0107 0.0000 0.0000
Sm 4.0107 4.0107 4.0107
Tm 2.0054 2.0054 2.0054
Tm 2.0054 6.0161 6.0161
Tm 6.0161 2.0054 6.0161
Tm 6.0161 6.0161 2.0054
Cd 2.0054 2.0054 6.0161
Cd 2.0054 6.0161 2.0054
Cd 6.0161 2.0054 2.0054
Cd 6.0161 6.0161 6.0161
```



Tell me which of them is the least stable. Sure, it is b.



## a
The following is a PBE calculation of an optimized crystal structure of AcCdSn, from the Alexandria database.

Structure (extended XYZ):
```
9
Lattice="4.9793 0.0000 0.0000 -2.4897 4.3122 0.0000 0.0000 0.0000 12.9996" Properties=species:S:1:pos:R:3 pbc="T T T"
Ac 0.0000 0.0000 0.0000
Ac 0.0000 0.0000 4.3083
Ac 0.0000 0.0000 8.6912
Cd 0.0000 2.8748 6.4998
Cd 2.4897 1.4374 1.7329
Cd 2.4897 1.4374 11.2666
Sn 0.0000 2.8748 2.3899
Sn 0.0000 2.8748 10.6096
Sn 2.4897 1.4374 6.4998
```



## b
The following is a PBE calculation of an optimized crystal structure of AcCdSn, from the Alexandria database.

Structure (extended XYZ):
```
3
Lattice="4.8410 0.0000 0.0000 -2.4205 4.1924 0.0000 0.0000 0.0000 4.6528" Properties=species:S:1:pos:R:3 pbc="T T T"
Ac 0.0000 0.0000 0.0000
Cd 2.4205 1.3975 2.1805
Sn 0.0000 2.7949 2.4332
```



Tell me which of them is the least stable. Sure, it is b.



## a
The following is a PBE calculation of an optimized crystal structure of AcCd2Sn2, from the Alexandria database.

Structure (extended XYZ):
```
10
Lattice="2.3271 -12.7810 0.0000 2.3271 12.7810 0.0000 0.0000 0.0000 4.7148" Properties=species:S:1:pos:R:3 pbc="T T T"
Ac 2.3271 9.0090 3.5361
Ac 2.3271 -9.0090 1.1787
Cd 2.3271 11.8020 1.1787
Cd 2.3271 1.0497 1.1787
Cd 2.3271 -1.0497 3.5361
Cd 2.3271 -11.8020 3.5361
Sn 2.3271 6.4178 1.1787
Sn 2.3271 3.0552 3.5361
Sn 2.3271 -3.0552 1.1787
Sn 2.3271 -6.4178 3.5361
```



## b
The following is a PBE calculation of an optimized crystal structure of AcCd2Sn2, from the Alexandria database.

Structure (extended XYZ):
```
10
Lattice="5.0381 0.0000 0.0000 0.0000 5.0381 0.0000 0.0000 0.0000 11.3885" Properties=species:S:1:pos:R:3 pbc="T T T"
Ac 1.2595 1.2595 2.7611
Ac 3.7786 3.7786 8.6273
Cd 1.2595 1.2595 9.9456
Cd 1.2595 3.7786 5.6942
Cd 3.7786 1.2595 5.6942
Cd 3.7786 3.7786 1.4429
Sn 1.2595 1.2595 7.2081
Sn 1.2595 3.7786 0.0000
Sn 3.7786 1.2595 0.0000
Sn 3.7786 3.7786 4.1804
```



Tell me which of them is the least stable. Sure, it is b.



## a
The following is a PBE calculation of an optimized crystal structure of Ac2Cd5Sn3, from the Alexandria database.

Structure (extended XYZ):
```
20
Lattice="-5.9471 6.9506 3.3928 5.9471 -6.9506 3.3928 5.9471 6.9506 -3.3928" Properties=species:S:1:pos:R:3 pbc="T T T"
Ac 2.7750 1.7403 0.0000
Ac 2.7750 -1.7403 3.3928
Ac 3.1722 8.6909 0.0000
Ac 3.1722 5.2103 3.3928
Cd 5.9471 -3.1220 1.6964
Cd 4.5850 -4.9359 3.3928
Cd 5.9471 0.0000 1.6964
Cd 4.5850 4.9359 0.0000
Cd 5.9471 3.1220 1.6964
Cd 0.0000 3.8286 1.6964
Cd 1.3622 2.0147 3.3928
Cd 0.0000 6.9506 1.6964
Cd 1.3622 11.8865 0.0000
Cd 0.0000 10.0726 1.6964
Sn 7.7810 1.5706 0.0000
Sn 0.0000 0.0000 1.6964
Sn 1.8338 5.3800 0.0000
Sn 4.1133 1.5706 3.3928
Sn 0.0000 0.0000 5.0891
Sn -1.8338 5.3800 3.3928
```



## b
The following is a PBE calculation of an optimized crystal structure of Ac2Cd5Sn3, from the Alexandria database.

Structure (extended XYZ):
```
10
Lattice="4.9028 0.0000 0.0000 0.0000 4.9028 0.0000 0.0000 0.0000 11.8881" Properties=species:S:1:pos:R:3 pbc="T T T"
Ac 0.0000 2.4514 2.8457
Ac 2.4514 0.0000 9.0424
Cd 0.0000 0.0000 0.0000
Cd 0.0000 0.0000 5.9441
Cd 0.0000 2.4514 10.4295
Cd 2.4514 0.0000 1.4586
Cd 2.4514 2.4514 0.0000
Sn 0.0000 2.4514 7.6638
Sn 2.4514 0.0000 4.2243
Sn 2.4514 2.4514 5.9441
```



Tell me which of them is the least stable. Sure, it is b.



## a
The following is a PBE calculation of an optimized crystal structure of Ac2CdSn3, from the Alexandria database.

Structure (extended XYZ):
```
12
Lattice="12.4240 0.0000 0.0000 0.0000 4.8548 0.0000 -5.0021 0.0000 6.1569" Properties=species:S:1:pos:R:3 pbc="T T T"
Ac 0.0000 0.0000 0.0000
Ac -1.6358 0.0000 3.8411
Ac 6.2120 2.4274 0.0000
Ac 4.5763 2.4274 3.8411
Cd 0.7413 2.4274 2.4996
Cd 6.9533 0.0000 2.4996
Sn 2.6085 2.4274 0.0293
Sn 1.9005 0.0000 3.6327
Sn 4.1053 0.0000 1.2830
Sn 8.8205 0.0000 0.0293
Sn 8.1126 2.4274 3.6327
Sn 10.3174 2.4274 1.2830
```



## b
The following is a PBE calculation of an optimized crystal structure of Ac2CdSn3, from the Alexandria database.

Structure (extended XYZ):
```
6
Lattice="4.4896 0.0000 0.0000 0.0000 4.9919 0.0000 0.0000 0.0000 8.5102" Properties=species:S:1:pos:R:3 pbc="T T T"
Ac 0.0000 0.0000 0.0000
Ac 0.0000 2.4959 4.1488
Cd 2.2448 2.4959 6.9979
Sn 2.2448 0.0000 2.8046
Sn 2.2448 0.0000 5.6893
Sn 2.2448 2.4959 1.3134
```



Tell me which of them is the least stable. Sure, it is b.



## a
The following is a PBE calculation of an optimized crystal structure of AcCd4Sn2, from the Alexandria database.

Structure (extended XYZ):
```
14
Lattice="8.8753 0.0000 0.0000 0.0000 8.8753 0.0000 0.0000 0.0000 4.8002" Properties=species:S:1:pos:R:3 pbc="T T T"
Ac 0.0000 0.0000 0.0000
Ac 4.4377 4.4377 2.4001
Cd 0.8245 3.1044 2.4001
Cd 1.3333 5.2622 0.0000
Cd 3.1044 0.8245 2.4001
Cd 3.6132 7.5420 0.0000
Cd 5.2622 1.3333 0.0000
Cd 5.7709 8.0508 2.4001
Cd 7.5420 3.6132 0.0000
Cd 8.0508 5.7709 2.4001
Sn 1.8353 7.0400 2.4001
Sn 2.6024 2.6024 0.0000
Sn 6.2730 6.2730 0.0000
Sn 7.0400 1.8353 2.4001
```



## b
The following is a PBE calculation of an optimized crystal structure of AcCd4Sn2, from the Alexandria database.

Structure (extended XYZ):
```
7
Lattice="2.5516 1.4732 8.7027 -2.5516 1.4732 8.7027 0.0000 -2.9463 8.7027" Properties=species:S:1:pos:R:3 pbc="T T T"
Ac 0.0000 0.0000 0.0000
Cd 0.0000 0.0000 3.5821
Cd 0.0000 0.0000 10.4838
Cd 0.0000 0.0000 15.6243
Cd 0.0000 0.0000 22.5260
Sn 0.0000 0.0000 6.5352
Sn 0.0000 0.0000 19.5729
```



Tell me which of them is the least stable. Sure, it is b.